1.
# KSrSe2, optimized geometry, DFT PBE-GGA
data_KSrSe2
_chemical_formula_sum 'K4 Sr4 Se8'
_cell_length_a 6.708
_cell_length_b 6.708
_cell_length_c 16.450
_cell_angle_alpha 90.00
_cell_angle_beta 90.00
_cell_angle_gamma 90.00
_space_group_name_H-M_alt 'I -4 2 d'
_space_group_IT_number 122
_space_group_name_Hall 'I -4 2bw'
loop_
_atom_site_label
_atom_site_type_symbol
_atom_site_fract_x
_atom_site_fract_y
_atom_site_fract_z
K1 K 0.000 0.000 0.000
Sr1 Sr 0.000 0.000 0.500
Se1 Se 0.205 0.250 0.625
# calculated volume	46.268	A^3/atom
# formation energy without anion corrections	-1.060	eV/atom
# D(E_F)	4.40	states/eV/f.u.

2.
# NaTl2SnBi, optimized geometry, DFT PBE-GGA
data_NaTl2SnBi
_chemical_formula_sum 'Na4 Tl8 Sn4 Bi4'
_cell_length_a 3.609
_cell_length_b 15.599
_cell_length_c 11.198
_cell_angle_alpha 90.00
_cell_angle_beta 90.00
_cell_angle_gamma 90.00
_space_group_name_H-M_alt 'C m c m'
_space_group_IT_number 63
_space_group_name_Hall '-C 2c 2'
loop_
_atom_site_label
_atom_site_type_symbol
_atom_site_fract_x
_atom_site_fract_y
_atom_site_fract_z
Na1 Na 0.000 0.156 0.250
Tl1 Tl 0.000 0.186 0.593
Sn1 Sn 0.000 0.000 0.000
Bi1 Bi 0.000 0.472 0.250
# calculated volume	31.520	A^3/atom
# calculated total energy	-2.814	eV per atom
# D(E_F)	2.16	states/eV/f.u.

3.
# Ca2TaOsO6, optimized geometry, DFT PBE-GGA
data_Ca2TaOsO6
_chemical_formula_sum 'Ca2 Ta1 Os1 O6'
_cell_length_a 5.670
_cell_length_b 5.670
_cell_length_c 4.010
_cell_angle_alpha 90.00
_cell_angle_beta 90.00
_cell_angle_gamma 90.00
_space_group_name_H-M_alt 'P 4 m m'
_space_group_IT_number 99
_space_group_name_Hall 'P 4 -2'
loop_
_atom_site_label
_atom_site_type_symbol
_atom_site_fract_x
_atom_site_fract_y
_atom_site_fract_z
Ca1 Ca 0.000 0.500 0.000
Ta1 Ta 0.000 0.000 0.592
Os1 Os 0.500 0.500 0.623
O1 O 0.000 0.000 0.107
O2 O 0.245 0.245 0.628
O3 O 0.500 0.500 0.124
# calculated volume	12.891	A^3/atom
# formation energy without anion corrections	-2.280	eV/atom
# D(E_F)	3.21	states/eV/f.u.

4.
# LiPaMoN3, optimized geometry, DFT PBE-GGA
data_LiPaMoN3
_chemical_formula_sum 'Li2 Pa2 Mo2 N6'
_cell_length_a 5.677
_cell_length_b 3.295
_cell_length_c 7.958
_cell_angle_alpha 90.00
_cell_angle_beta 107.31
_cell_angle_gamma 90.00
_space_group_name_H-M_alt 'P 1 21/m 1'
_space_group_IT_number 11
_space_group_name_Hall '-P 2yb'
loop_
_atom_site_label
_atom_site_type_symbol
_atom_site_fract_x
_atom_site_fract_y
_atom_site_fract_z
Li1 Li 0.114 0.250 0.420
Pa1 Pa 0.478 0.750 0.765
Mo1 Mo 0.021 0.250 0.880
N1 N 0.201 0.250 0.681
N2 N 0.269 0.750 0.990
N3 N 0.298 0.750 0.329
# calculated volume	11.841	A^3/atom
# formation energy without anion corrections	-1.023	eV/atom

5.
# CsAlGa, optimized geometry, DFT PBE-GGA
data_CsAlGa
_chemical_formula_sum 'Cs2 Al2 Ga2'
_cell_length_a 3.748
_cell_length_b 3.748
_cell_length_c 13.771
_cell_angle_alpha 90.00
_cell_angle_beta 90.00
_cell_angle_gamma 90.00
_space_group_name_H-M_alt 'I 4 m m'
_space_group_IT_number 107
_space_group_name_Hall 'I 4 -2'
loop_
_atom_site_label
_atom_site_type_symbol
_atom_site_fract_x
_atom_site_fract_y
_atom_site_fract_z
Cs1 Cs 0.000 0.000 0.000
Al1 Al 0.000 0.000 0.275
Ga1 Ga 0.000 0.000 0.724
# calculated volume	32.244	A^3/atom
# polymorph energy (0 for the lowest one)	242.4	meV per atom
# D(E_F)	1.82	states/eV/f.u.

6.
# TeOs5, optimized geometry, DFT PBE-GGA
data_TeOs5
_chemical_formula_sum 'Te2 Os10'
_cell_length_a 4.370
_cell_length_b 2.868
_cell_length_c 14.886
_cell_angle_alpha 90.00
_cell_angle_beta 90.00
_cell_angle_gamma 90.00
_space_group_name_H-M_alt 'A m m 2'
_space_group_IT_number 38
_space_group_name_Hall 'A 2 -2'
loop_
_atom_site_label
_atom_site_type_symbol
_atom_site_fract_x
_atom_site_fract_y
_atom_site_fract_z
Te1 Te 0.000 0.000 0.000
Os1 Os 0.000 0.000 0.321
Os2 Os 0.000 0.000 0.675
Os3 Os 0.500 0.000 0.113
Os4 Os 0.500 0.000 0.436
Os5 Os 0.500 0.000 0.779
# calculated volume	15.545	A^3/atom
# polymorph energy (0 for the lowest one)	68.1	meV per atom
# formation energy without anion corrections	0.580	eV/atom
# D(E_F)	5.79	states/eV/f.u.

7.
# CdAg2S2, optimized geometry, DFT PBE-GGA
data_CdAg2S2
_chemical_formula_sum 'Cd2 Ag4 S4'
_cell_length_a 7.232
_cell_length_b 7.232
_cell_length_c 3.860
_cell_angle_alpha 90.00
_cell_angle_beta 90.00
_cell_angle_gamma 90.00
_space_group_name_H-M_alt 'P 4/m b m'
_space_group_IT_number 127
_space_group_name_Hall '-P 4 2ab'
loop_
_atom_site_label
_atom_site_type_symbol
_atom_site_fract_x
_atom_site_fract_y
_atom_site_fract_z
Cd1 Cd 0.000 0.000 0.000
Ag1 Ag 0.138 0.362 0.500
S1 S 0.178 0.678 0.000
# calculated volume	20.186	A^3/atom
# formation energy without anion corrections	0.006	eV/atom
# D(E_F)	0.25	states/eV/f.u.

8.
# YMn2, optimized geometry, DFT PBE-GGA
data_YMn2
_chemical_formula_sum 'Y4 Mn8'
_cell_length_a 6.329
_cell_length_b 6.329
_cell_length_c 6.329
_cell_angle_alpha 90.00
_cell_angle_beta 90.00
_cell_angle_gamma 90.00
_space_group_name_H-M_alt 'F -4 3 m'
_space_group_IT_number 216
_space_group_name_Hall 'F -4 2 3'
loop_
_atom_site_label
_atom_site_type_symbol
_atom_site_fract_x
_atom_site_fract_y
_atom_site_fract_z
Y1 Y 0.000 0.000 0.000
Mn1 Mn 0.000 0.000 0.500
Mn2 Mn 0.250 0.250 0.750
# calculated volume	21.126	A^3/atom
# calculated total energy	-7.664	eV per atom
# D(E_F)	2.86	states/eV/f.u.

9.
# Rb2Np3MnS8, optimized geometry, DFT PBE-GGA
data_Rb2Np3MnS8
_chemical_formula_sum 'Rb6 Np9 Mn3 S24'
_cell_length_a 7.8594
_cell_length_b 7.8594
_cell_length_c 24.6237
_cell_angle_alpha 90.00
_cell_angle_beta 90.00
_cell_angle_gamma 120.00
_space_group_name_H-M_alt 'R 3 m'
_space_group_IT_number 160
_space_group_name_Hall 'R 3 -2"'
loop_
_atom_site_label
_atom_site_type_symbol
_atom_site_fract_x
_atom_site_fract_y
_atom_site_fract_z
Rb1 Rb 0.0000 0.0000 0.0000
Rb2 Rb 0.0000 0.0000 0.3491
Np1 Np 0.1682 0.3365 0.1832
Mn1 Mn 0.0000 0.0000 0.8421
S1 S 0.0000 0.0000 0.1268
S2 S 0.0000 0.0000 0.5757
S3 S 0.0051 0.5026 0.5726
S4 S 0.1690 0.3380 0.4580
# calculated volume	31.363	A^3/atom
# formation energy without anion corrections	-1.204	eV/atom
# D(E_F)	27.52	states/eV/f.u.

10.
# ZrNp2NbP4, optimized geometry, DFT PBE-GGA
data_ZrNp2NbP4
_chemical_formula_sum 'Zr1 Np2 Nb1 P4'
_cell_length_a 6.498
_cell_length_b 3.785
_cell_length_c 6.639
_cell_angle_alpha 90.00
_cell_angle_beta 109.31
_cell_angle_gamma 90.00
_space_group_name_H-M_alt 'P 1 2/m 1'
_space_group_IT_number 10
_space_group_name_Hall '-P 2y'
loop_
_atom_site_label
_atom_site_type_symbol
_atom_site_fract_x
_atom_site_fract_y
_atom_site_fract_z
Zr1 Zr 0.000 0.000 0.000
Np1 Np 0.500 0.000 0.500
Np2 Np 0.500 0.500 0.000
Nb1 Nb 0.000 0.500 0.500
P1 P 0.234 0.000 0.740
P2 P 0.236 0.500 0.251
# calculated volume	19.262	A^3/atom
# calculated total energy	-9.276	eV per atom
# D(E_F)	16.41	states/eV/f.u.

11.
# Ho2Ga2GeRh5, optimized geometry, DFT PBE-GGA
data_Ho2Ga2GeRh5
_chemical_formula_sum 'Ho4 Ga4 Ge2 Rh10'
_cell_length_a 9.729
_cell_length_b 9.729
_cell_length_c 3.519
_cell_angle_alpha 90.00
_cell_angle_beta 90.00
_cell_angle_gamma 90.00
_space_group_name_H-M_alt 'P 4/m b m'
_space_group_IT_number 127
_space_group_name_Hall '-P 4 2ab'
loop_
_atom_site_label
_atom_site_type_symbol
_atom_site_fract_x
_atom_site_fract_y
_atom_site_fract_z
Ho1 Ho 0.173 0.327 0.000
Ga1 Ga 0.126 0.626 0.000
Ge1 Ge 0.000 0.000 0.000
Rh1 Rh 0.000 0.500 0.500
Rh2 Rh 0.067 0.800 0.500
# calculated volume	16.657	A^3/atom
# calculated total energy	-6.461	eV per atom
# D(E_F)	2.90	states/eV/f.u.

12.
# In, optimized geometry, DFT PBE-GGA
data_In
_chemical_formula_sum 'In12'
_cell_length_a 8.275
_cell_length_b 8.275
_cell_length_c 8.275
_cell_angle_alpha 90.00
_cell_angle_beta 90.00
_cell_angle_gamma 90.00
_space_group_name_H-M_alt 'I m -3 m'
_space_group_IT_number 229
_space_group_name_Hall '-I 4 2 3'
loop_
_atom_site_label
_atom_site_type_symbol
_atom_site_fract_x
_atom_site_fract_y
_atom_site_fract_z
In1 In 0.000 0.250 0.500
# calculated volume	47.214	A^3/atom
# polymorph energy (0 for the lowest one)	382.3	meV per atom
# D(E_F)	0.38	states/eV/f.u.